(1)
Compound: SrLa3Os
Source: the Alexandria database
Functional: PBE
Structure: relaxed

Calculated values
VASP energy   -109.02 eV per cell
Magnetic moment   0.00 μB per formula unit
Polymorph energy (0 for the lowest one)   0.86 eV/f.u.

CIF file:
```
data_SrLa3Os
_chemical_formula_sum 'Sr4 La12 Os4'
_cell_length_a 7.0572
_cell_length_b 8.9856
_cell_length_c 11.6158
_cell_angle_alpha 90.00
_cell_angle_beta 90.00
_cell_angle_gamma 90.00
_space_group_name_H-M_alt 'P n m a'
_space_group_IT_number 62
loop_
_space_group_symop_operation_xyz
'x,y,z'
'-x,-y,-z'
'-x+1/2,-y,z+1/2'
'x+1/2,y,-z+1/2'
'x+1/2,-y+1/2,-z+1/2'
'-x+1/2,y+1/2,z+1/2'
'-x,y+1/2,-z'
'x,-y+1/2,z'
loop_
_atom_site_label
_atom_site_type_symbol
_atom_site_fract_x
_atom_site_fract_y
_atom_site_fract_z
Sr1 Sr 0.0000 0.0000 0.0000
La1 La 0.0112 0.0621 0.3586
La2 La 0.2457 0.2500 0.7420
Os1 Os 0.0524 0.7500 0.4503
```


(2)
Compound: NbPNF2
Source: the Alexandria database
Functional: PBE
Structure: relaxed

Calculated values
VASP energy   -27.34 eV per cell
Magnetic moment   2.22 μB per formula unit
ΔE_f (raw)   0.04 eV/atom
Polymorph energy (0 for the lowest one)   3.30 eV/f.u.

CIF file:
```
data_NbPNF2
_chemical_formula_sum 'Nb1 P1 N1 F2'
_cell_length_a 4.5921
_cell_length_b 4.5921
_cell_length_c 3.2475
_cell_angle_alpha 90.00
_cell_angle_beta 90.00
_cell_angle_gamma 90.00
_space_group_name_H-M_alt 'P 4/m m m'
_space_group_IT_number 123
_space_group_name_Hall '-P 4 2'
loop_
_atom_site_label
_atom_site_type_symbol
_atom_site_fract_x
_atom_site_fract_y
_atom_site_fract_z
Nb1 Nb 0.0000 0.0000 0.0000
P1 P 0.5000 0.5000 0.5000
N1 N 0.5000 0.5000 0.0000
F1 F 0.0000 0.5000 0.5000
```


Look up the polymorph energy (0 for the lowest one) of the second one. 3.30 eV/f.u.